[1]
# Ni6SbTe2, optimized geometry, DFT PBEsol
# Raw formation energy: -0.20 eV/atom
data_Ni6SbTe2
_chemical_formula_sum 'Ni12 Sb2 Te4'
_cell_length_a 3.757
_cell_length_b 3.757
_cell_length_c 18.816
_cell_angle_alpha 90.00
_cell_angle_beta 90.00
_cell_angle_gamma 90.00
_symmetry_space_group_name_H-M 'I 4 m m'
_symmetry_Int_Tables_number 107
_symmetry_space_group_name_Hall 'I 4 -2'
loop_
_atom_site_label
_atom_site_fract_x
_atom_site_fract_y
_atom_site_fract_z
Ni1 0.000 0.000 0.000
Ni2 0.000 0.000 0.309
Ni3 0.000 0.500 0.093
Ni4 0.000 0.500 0.405
Sb1 0.000 0.000 0.499
Te1 0.000 0.000 0.178
Te2 0.000 0.000 0.813

=====

[2]
# MoPNCl2, optimized geometry, DFT PBEsol
# Raw formation energy: 1.27 eV/atom
data_MoPNCl2
_chemical_formula_sum 'Mo1 P1 N1 Cl2'
_cell_length_a 4.171
_cell_length_b 4.171
_cell_length_c 4.219
_cell_angle_alpha 90.00
_cell_angle_beta 90.00
_cell_angle_gamma 90.00
_symmetry_space_group_name_H-M 'P 4/m m m'
_symmetry_Int_Tables_number 123
_symmetry_space_group_name_Hall '-P 4 2'
loop_
_atom_site_label
_atom_site_fract_x
_atom_site_fract_y
_atom_site_fract_z
Mo1 0.000 0.000 0.000
P1 0.500 0.500 0.000
N1 0.500 0.500 0.500
Cl1 0.000 0.500 0.500

=====

[3]
# SiN3Cl, optimized geometry, DFT PBEsol
# Raw formation energy: 2.45 eV/atom
data_SiN3Cl
_chemical_formula_sum 'Si1 N3 Cl1'
_cell_length_a 3.664
_cell_length_b 3.664
_cell_length_c 3.664
_cell_angle_alpha 90.00
_cell_angle_beta 90.00
_cell_angle_gamma 90.00
_symmetry_space_group_name_H-M 'P m -3 m'
_symmetry_Int_Tables_number 221
_symmetry_space_group_name_Hall '-P 4 2 3'
loop_
_atom_site_label
_atom_site_fract_x
_atom_site_fract_y
_atom_site_fract_z
Si1 0.000 0.000 0.000
N1 0.000 0.500 0.500
Cl1 0.500 0.500 0.500

=====

[4]
# SmCo3, optimized geometry, DFT PBEsol
# Calculated formation energy: -0.09 eV/atom
data_SmCo3
_chemical_formula_sum 'Sm9 Co27'
_cell_length_a 4.9199
_cell_length_b 4.9199
_cell_length_c 24.2392
_cell_angle_alpha 90.00
_cell_angle_beta 90.00
_cell_angle_gamma 120.00
_symmetry_space_group_name_H-M 'R -3 m'
_symmetry_Int_Tables_number 166
_symmetry_space_group_name_Hall '-R 3 2"'
loop_
_atom_site_label
_atom_site_fract_x
_atom_site_fract_y
_atom_site_fract_z
Sm1 0.0000 0.0000 0.0000
Sm2 0.0000 0.0000 0.1400
Co1 0.0000 0.0000 0.3338
Co2 0.0000 0.0000 0.5000
Co3 0.0010 0.5005 0.0802

=====

[5]
# ScReAu2, optimized geometry, DFT PBEsol
# Calculated formation energy: 0.17 eV/atom
data_ScReAu2
_chemical_formula_sum 'Sc3 Re3 Au6'
_cell_length_a 2.8565
_cell_length_b 2.8565
_cell_length_c 28.2289
_cell_angle_alpha 90.00
_cell_angle_beta 90.00
_cell_angle_gamma 120.00
_symmetry_space_group_name_H-M 'R -3 m'
_symmetry_Int_Tables_number 166
_symmetry_space_group_name_Hall '-R 3 2"'
loop_
_atom_site_label
_atom_site_fract_x
_atom_site_fract_y
_atom_site_fract_z
Sc1 0.0000 0.0000 0.0000
Re1 0.0000 0.0000 0.5000
Au1 0.0000 0.0000 0.2484

=====

[6]
# Ti3CdGa, optimized geometry, DFT PBEsol
# Calculated formation energy: 0.49 eV/atom
data_Ti3CdGa
_chemical_formula_sum 'Ti3 Cd1 Ga1'
_cell_length_a 4.667
_cell_length_b 4.667
_cell_length_c 4.667
_cell_angle_alpha 90.00
_cell_angle_beta 90.00
_cell_angle_gamma 90.00
_symmetry_space_group_name_H-M 'P m -3 m'
_symmetry_Int_Tables_number 221
_symmetry_space_group_name_Hall '-P 4 2 3'
loop_
_atom_site_label
_atom_site_fract_x
_atom_site_fract_y
_atom_site_fract_z
Ti1 0.000 0.000 0.500
Cd1 0.500 0.500 0.500
Ga1 0.000 0.000 0.000

=====

[7]
# BaCa2Cl, optimized geometry, DFT PBEsol
# Raw formation energy: -0.53 eV/atom
data_BaCa2Cl
_chemical_formula_sum 'Ba1 Ca2 Cl1'
_cell_length_a 4.156
_cell_length_b 5.389
_cell_length_c 7.209
_cell_angle_alpha 90.00
_cell_angle_beta 90.00
_cell_angle_gamma 90.00
_symmetry_space_group_name_H-M 'P m m m'
_symmetry_Int_Tables_number 47
loop_
_symmetry_equiv_pos_as_xyz
'x,y,z'
'-x,-y,-z'
'-x,-y,z'
'x,y,-z'
'x,-y,-z'
'-x,y,z'
'-x,y,-z'
'x,-y,z'
loop_
_atom_site_label
_atom_site_fract_x
_atom_site_fract_y
_atom_site_fract_z
Ba1 0.000 0.000 0.000
Ca1 0.000 0.500 0.500
Ca2 0.500 0.000 0.500
Cl1 0.500 0.500 0.000

=====

[8]
# CdS, optimized geometry, DFT PBEsol
# Raw formation energy: -0.62 eV/atom
data_CdS
_chemical_formula_sum 'Cd4 S4'
_cell_length_a 5.826
_cell_length_b 5.826
_cell_length_c 5.826
_cell_angle_alpha 90.00
_cell_angle_beta 90.00
_cell_angle_gamma 90.00
_symmetry_space_group_name_H-M 'F -4 3 m'
_symmetry_Int_Tables_number 216
_symmetry_space_group_name_Hall 'F -4 2 3'
loop_
_atom_site_label
_atom_site_fract_x
_atom_site_fract_y
_atom_site_fract_z
Cd1 0.000 0.000 0.000
S1 0.250 0.250 0.250